Material: Sr2YTlFe2O7
Method: DFT, GGA-PBEsol
State: relaxed

For the total moment, the calculation gives 5.8 Bohr magnetons per cell. Its density is 6720 kg/m3. For the total DFT energy (no corrections), the calculation gives -7.29 eV/atom.

The space group is P4/mmm (No. 123) and the conventional cell measures 3.7667, 3.7667 and 12.0564 Å, with angles of 90.00, 90.00 and 90.00 degrees. Symmetry generates all atoms from Sr at (0.0000, 0.0000, 0.2028), Y at (0.0000, 0.0000, 0.5000), Tl at (0.5000, 0.5000, 0.0000), Fe at (0.5000, 0.5000, 0.3676), O at (0.0000, 0.0000, 0.0000), O at (0.0000, 0.5000, 0.3806) and O at (0.5000, 0.5000, 0.2015).